1.
Density functional theory data (PBE-GGA) for KScGe2I8 after structural relaxation.

## Properties
Symmetry: P-1
Raw formation energy in kJ/mol of formula units: -869.7
Size of the total moment in μB per cell: 0.00
DFT total energy in eV for the cell shown: -38.08

a = 7.0532 Å, b = 8.3357 Å, c = 9.5152 Å
α = 99.84°, β = 95.02°, γ = 98.19°
Element x y z (fractional)
K (0.0000, 0.0000, 0.0000)
Sc (0.0000, 0.0000, 0.5000)
Ge (0.4525, 0.6176, 0.2283)
Ge (0.5475, 0.3824, 0.7717)
I (0.1465, 0.6951, 0.3905)
I (0.2256, 0.1922, 0.3402)
I (0.2782, 0.6347, 0.9678)
I (0.3195, 0.0701, 0.7395)
I (0.6805, 0.9299, 0.2605)
I (0.7218, 0.3653, 0.0322)
I (0.7744, 0.8078, 0.6598)
I (0.8535, 0.3049, 0.6095)

2.
Density functional theory data (PBE-GGA) for KSn2GeI8 after structural relaxation.

## Properties
Symmetry: P-1
Raw formation energy in kJ/mol of formula units: -595.0
Size of the total moment in μB per cell: 0.00
DFT total energy in eV for the cell shown: -32.29

a = 7.2337 Å, b = 7.6127 Å, c = 9.4305 Å
α = 89.95°, β = 89.93°, γ = 88.19°
Element x y z (fractional)
K (0.0000, 0.0000, 0.0000)
Sn (0.4999, 0.5000, 0.2590)
Sn (0.5001, 0.5000, 0.7410)
Ge (0.0000, 0.0000, 0.5000)
I (0.2424, 0.3240, 0.5002)
I (0.2451, 0.8349, 0.7170)
I (0.2457, 0.8356, 0.2827)
I (0.2787, 0.3609, 0.0004)
I (0.7213, 0.6391, 0.9996)
I (0.7543, 0.1644, 0.7173)
I (0.7549, 0.1651, 0.2830)
I (0.7576, 0.6760, 0.4998)

3.
Density functional theory data (PBE-GGA) for KSr2GeI after structural relaxation.

## Properties
Symmetry: P4/mmm
Raw formation energy in kJ/mol of formula units: 179.9
Size of the total moment in μB per cell: 0.00
DFT total energy in eV for the cell shown: -8.76

a = 6.9108 Å, b = 6.9108 Å, c = 5.3247 Å
α = 90.00°, β = 90.00°, γ = 90.00°
Element x y z (fractional)
K (0.0000, 0.0000, 0.0000)
Sr (0.0000, 0.5000, 0.0000)
Sr (0.5000, 0.0000, 0.0000)
Ge (0.0000, 0.0000, 0.5000)
I (0.5000, 0.5000, 0.5000)

4.
Density functional theory data (PBE-GGA) for KGeTe2I after structural relaxation.

## Properties
Symmetry: P4/mmm
Raw formation energy in kJ/mol of formula units: -143.1
Size of the total moment in μB per cell: 0.00
DFT total energy in eV for the cell shown: -15.03

a = 5.5029 Å, b = 5.5029 Å, c = 6.1997 Å
α = 90.00°, β = 90.00°, γ = 90.00°
Element x y z (fractional)
K (0.0000, 0.0000, 0.0000)
Ge (0.5000, 0.5000, 0.5000)
Te (0.0000, 0.5000, 0.5000)
Te (0.5000, 0.0000, 0.5000)
I (0.5000, 0.5000, 0.0000)

- Among the records above, which one has the highest raw formation energy?
  KSr2GeI